# 1
In3AsAu | Alexandria | PBE | relaxed; E above lowest polymorph = 144 meV per atom; formation energy from the elements = 0.399 eV per atom; density = 6.53 Mg/m³
1.0
5.3926 0.0000 0.0000
0.0000 5.3926 0.0000
0.0000 0.0000 5.3926
In As Au
3 1 1
Direct
0.0000 0.0000 0.5000
0.0000 0.5000 0.0000
0.5000 0.0000 0.0000
0.0000 0.0000 0.0000
0.5000 0.5000 0.5000

# 2
InAs2Au | Alexandria | PBE | relaxed; formation energy from the elements = 0.035 eV per atom; density = 8.73 Mg/m³
1.0
4.0148 0.0000 0.0000
0.0000 4.0148 0.0000
0.0000 0.0000 5.4458
In As Au
1 2 1
Direct
0.0000 0.0000 0.0000
0.0000 0.0000 0.4998
0.5000 0.5000 0.4992
0.5000 0.5000 0.9991